## BeAlCdRe2 (GGA-PBEsol)

Data for a relaxed structure of BeAlCdRe2.

Results
The value obtained for the final energy is -5.20 eV per atom. Its formation energy is 191.8 kJ per mole of atoms. Its space group is P4/mmm (123).

abc: 4.477 4.477 4.629
angles: 90.00 90.00 90.00
Sites, in units of the cell vectors:
Al (0.000, 0.000, 0.000)
Cd (0.000, 0.000, 0.500)
Re (0.500, 0.000, 0.000)
Re (0.000, 0.500, 0.000)
Be (0.500, 0.500, 0.500)